The following is a DFT calculation (PBE-GGA) of an optimized crystal structure of Pm8Te4AsP3.

a b c (Å): 8.4952 8.7722 8.4952
angles (deg): 118.96 120.00 90.00
Sites, in units of the cell vectors:
Pm 0.2409 0.7150 0.9741
Pm 0.2409 0.7150 0.4818
Pm 0.2626 0.2877 0.5251
Pm 0.7332 0.7150 0.9741
Pm 0.2668 0.2850 0.0259
Pm 0.7374 0.7123 0.4749
Pm 0.7591 0.2850 0.5182
Pm 0.7591 0.2850 0.0259
Te 0.5000 0.0000 0.0000
Te 0.5000 0.0000 0.5000
Te 0.0000 0.0000 0.0000
Te 0.0000 0.0000 0.5000
As 0.0000 0.5000 0.0000
P 0.5000 0.5000 0.0000
P 0.5000 0.5000 0.5000
P 0.0000 0.5000 0.5000

Its volume is 454.5 Å³/cell. The calculation puts the formation energy from raw total energies at -1.571 eV per atom. The calculation puts the spin magnetization at 0.00 μB/cell. The crystal system is trigonal. The total energy comes out at -6.037 eV/atom. As for the space group: R-3m (166).